[1]
An optimized crystal structure of NiSn3Rh, computed with PBE-GGA.

- D(E_F): 18.871 states/eV per cell
- Calculated formation energy: -215 meV/atom
- Energy above the lowest structure with this stoichiometry: 0 meV per atom

Cell lengths 13.1197, 9.9926, 6.2911 Å; angles 90.00, 90.03, 90.00 degrees
With the nearest neighbours (Å) after each atom.
Space group C2/c (No. 15)
Inequivalent atoms, fractional coordinates:
Ni1 0.2152 0.1617 0.2510 (multiplicity 8)  6 Sn 2.58-2.63
Sn1 0.1195 0.0001 0.0008 (multiplicity 8)  2 Ni 2.58, 2 Rh 2.81-2.82
Sn2 0.1253 0.3324 0.4967 (multiplicity 8)  2 Ni 2.59-2.63, 3 Rh 2.77-2.88
Sn3 0.1258 0.3320 0.0027 (multiplicity 8)  2 Ni 2.59-2.63, 3 Rh 2.78-2.89
Rh1 0.0000 0.1730 0.7500 (multiplicity 4)  8 Sn 2.79-2.82
Rh2 0.0000 0.4891 0.7500 (multiplicity 4)  8 Sn 2.77-2.89


[2]
An optimized crystal structure of NiSnRh6, computed with PBE-GGA.

- D(E_F): 25.884 states/eV per cell
- Calculated formation energy: 260 meV/atom

Cell lengths 7.5275, 5.2892, 7.0576 Å; angles 90.00, 109.70, 90.00 degrees
With the nearest neighbours (Å) after each atom.
Space group C2/m (No. 12)
Inequivalent atoms, fractional coordinates:
Ni1 0.0000 0.0000 0.0000 (multiplicity 2)  6 Rh 2.44-2.54
Sn1 0.0000 0.5000 0.5000 (multiplicity 2)  10 Rh 2.69-2.95
Rh1 0.1477 0.5000 0.9432 (multiplicity 4)  1 Ni 2.54, 7 Rh 2.61-2.81
Rh2 0.1871 0.2557 0.2857 (multiplicity 8)  1 Ni 2.44, 4 Rh 2.58-2.71, 2 Sn 2.69-2.72


[3]
An optimized crystal structure of NiSn6Rh12, computed with PBE-GGA.

- D(E_F): 45.163 states/eV per cell
- Calculated formation energy: -205 meV/atom

Cell lengths 11.7033, 11.7033, 8.1242 Å; angles 90.00, 90.00, 120.00 degrees
With the nearest neighbours (Å) after each atom.
Space group R-3 (No. 148, hexagonal axes)
Inequivalent atoms, fractional coordinates:
Ni1 0.0000 0.0000 0.0000 (multiplicity 3)  6 Rh 2.65, 6 Sn 2.95
Sn1 0.0422 0.1990 0.7484 (multiplicity 18)  8 Rh 2.65-2.92, 1 Ni 2.95
Rh1 0.0420 0.2374 0.0788 (multiplicity 18)  1 Ni 2.65, 5 Rh 2.68-2.87, 4 Sn 2.70-2.92
Rh2 0.0650 0.2461 0.4273 (multiplicity 18)  4 Sn 2.65-2.88, 6 Rh 2.68-2.84


[4]
An optimized crystal structure of NiSnRh4, computed with PBE-GGA.

- D(E_F): 20.946 states/eV per cell
- Calculated formation energy: 121 meV/atom

Cell lengths 7.2586, 4.1842, 6.8853 Å; angles 90.00, 110.67, 90.00 degrees
With the nearest neighbours (Å) after each atom.
Space group C2/m (No. 12)
Inequivalent atoms, fractional coordinates:
Ni1 0.0000 0.0000 0.0000 (multiplicity 2)  6 Rh 2.49
Sn1 0.0000 0.5000 0.5000 (multiplicity 2)  8 Rh 2.63-2.67
Rh1 0.1362 0.5000 0.9086 (multiplicity 4)  3 Ni 2.49, 1 Sn 2.63, 4 Rh 2.69
Rh2 0.2253 0.0000 0.6743 (multiplicity 4)  3 Sn 2.67, 4 Rh 2.69-2.85


[5]
An optimized crystal structure of NiSn2Rh, computed with PBE-GGA.

- D(E_F): 12.317 states/eV per cell
- Calculated formation energy: 109 meV/atom

Cell lengths 7.1163, 7.1163, 5.9844 Å; angles 90.00, 90.00, 90.00 degrees
With the nearest neighbours (Å) after each atom.
Space group I-42d (No. 122)
Inequivalent atoms, fractional coordinates:
Ni1 0.0000 0.0000 0.0000 (multiplicity 4)  4 Sn 2.55
Sn1 0.2344 0.2500 0.1250 (multiplicity 8)  2 Ni 2.55, 2 Rh 2.70
Rh1 0.0000 0.0000 0.5000 (multiplicity 4)  4 Sn 2.70, 2 Ni 2.99


[6]
An optimized crystal structure of NiSn4Rh, computed with PBE-GGA.

- D(E_F): 3.070 states/eV per cell
- Calculated formation energy: -297 meV/atom

Cell lengths 4.4960, 4.4960, 6.3458 Å; angles 90.00, 90.00, 90.00 degrees
With the nearest neighbours (Å) after each atom.
Space group P4/mmm (No. 123)
Inequivalent atoms, fractional coordinates:
Ni1 0.0000 0.0000 0.0000 (multiplicity 1)  8 Sn 2.73
Sn1 0.0000 0.5000 0.2440 (multiplicity 4)  2 Ni 2.73, 2 Rh 2.77
Rh1 0.5000 0.5000 0.5000 (multiplicity 1)  8 Sn 2.77


[7]
An optimized crystal structure of Ni4SnRh, computed with PBE-GGA.

- D(E_F): 29.641 states/eV per cell
- Calculated formation energy: -34 meV/atom

Cell lengths 6.7671, 6.7671, 6.7671 Å; angles 90.00, 90.00, 90.00 degrees
With the nearest neighbours (Å) after each atom.
Space group F-43m (No. 216)
Inequivalent atoms, fractional coordinates:
Ni1 0.1243 0.1243 0.1243 (multiplicity 16)  6 Ni 2.38-2.41
Sn1 0.0000 0.0000 0.5000 (multiplicity 4)  12 Ni 2.81, 4 Rh 2.93
Rh1 0.2500 0.2500 0.7500 (multiplicity 4)  12 Ni 2.80, 4 Sn 2.93


[8]
An optimized crystal structure of NiSnRh, computed with PBE-GGA.

- D(E_F): 1.511 states/eV per cell
- Calculated formation energy: -145 meV/atom

Cell lengths 4.2362, 4.2362, 2.9891 Å; angles 90.00, 90.00, 120.00 degrees
With the nearest neighbours (Å) after each atom.
Space group P3m1 (No. 156)
Inequivalent atoms, fractional coordinates:
Ni1 0.0000 0.0000 0.0000 (multiplicity 1)  3 Sn 2.52, 3 Rh 2.71
Sn1 0.3333 0.6667 0.7986 (multiplicity 1)  3 Ni 2.52, 3 Rh 2.73
Rh1 0.6667 0.3333 0.3917 (multiplicity 1)  3 Ni 2.71, 6 Sn 2.73-3.02, 2 Rh 2.99


[9]
An optimized crystal structure of Ni3SnRh, computed with PBE-GGA.

- D(E_F): 5.954 states/eV per cell
- Calculated formation energy: 937 meV/atom
- Energy above the lowest structure with this stoichiometry: 0 meV per atom

Cell lengths 4.5518, 4.5518, 4.5518 Å; angles 90.00, 90.00, 90.00 degrees
With the nearest neighbours (Å) after each atom.
Space group Pm-3m (No. 221)
Inequivalent atoms, fractional coordinates:
Ni1 0.0000 0.0000 0.5000 (multiplicity 3)  2 Rh 2.28
Sn1 0.5000 0.5000 0.5000 (multiplicity 1)  12 Ni 3.22
Rh1 0.0000 0.0000 0.0000 (multiplicity 1)  6 Ni 2.28


[10]
An optimized crystal structure of NiSnRh, computed with PBE-GGA.

- D(E_F): 3.435 states/eV per cell
- Calculated formation energy: 18 meV/atom

Cell lengths 3.6092, 3.6270, 4.0125 Å; angles 90.00, 90.00, 90.00 degrees
With the nearest neighbours (Å) after each atom.
Space group Pmmm (No. 47)
Inequivalent atoms, fractional coordinates:
Ni1 0.0000 0.0000 0.0000 (multiplicity 1)  4 Rh 2.56, 4 Sn 2.70
Sn1 0.5000 0.0000 0.5000 (multiplicity 1)  4 Ni 2.70, 4 Rh 2.70
Rh1 0.5000 0.5000 0.0000 (multiplicity 1)  4 Ni 2.56, 4 Sn 2.70


[11]
An optimized crystal structure of Ni2SnRh, computed with PBE-GGA.

- D(E_F): 21.096 states/eV per cell
- Calculated formation energy: 178 meV/atom

Cell lengths 3.7241, 3.7241, 18.0011 Å; angles 90.00, 90.00, 90.00 degrees
With the nearest neighbours (Å) after each atom.
Space group I-42d (No. 122)
Inequivalent atoms, fractional coordinates:
Ni1 0.2288 0.2500 0.1250 (multiplicity 8)  4 Ni 2.52-2.75, 2 Rh 2.58, 2 Sn 2.64
Sn1 0.0000 0.0000 0.5000 (multiplicity 4)  4 Rh 2.63, 4 Ni 2.64
Rh1 0.0000 0.0000 0.0000 (multiplicity 4)  4 Ni 2.58, 4 Sn 2.63


[12]
An optimized crystal structure of NiSn3Rh, computed with PBE-GGA.

- D(E_F): 5.661 states/eV per cell
- Calculated formation energy: 450 meV/atom
- Energy above the lowest structure with this stoichiometry: 666 meV per atom

Cell lengths 5.0658, 5.0658, 5.0658 Å; angles 90.00, 90.00, 90.00 degrees
With the nearest neighbours (Å) after each atom.
Space group Pm-3m (No. 221)
Inequivalent atoms, fractional coordinates:
Ni1 0.0000 0.0000 0.0000 (multiplicity 1)  12 Sn 3.58
Sn1 0.0000 0.5000 0.5000 (multiplicity 3)  2 Rh 2.53
Rh1 0.5000 0.5000 0.5000 (multiplicity 1)  6 Sn 2.53


[13]
An optimized crystal structure of NiSn2Rh, computed with PBE-GGA.

- D(E_F): 2.169 states/eV per cell
- Calculated formation energy: -171 meV/atom

Cell lengths 3.2634, 3.2634, 6.3560 Å; angles 90.00, 90.00, 90.00 degrees
With the nearest neighbours (Å) after each atom.
Space group P4/mmm (No. 123)
Inequivalent atoms, fractional coordinates:
Ni1 0.0000 0.0000 0.0000 (multiplicity 1)  8 Sn 2.78
Sn1 0.5000 0.5000 0.2437 (multiplicity 2)  4 Ni 2.78, 4 Rh 2.82, 1 Sn 3.10
Rh1 0.0000 0.0000 0.5000 (multiplicity 1)  8 Sn 2.82


[14]
An optimized crystal structure of Ni2SnRh, computed with PBE-GGA.

- D(E_F): 10.073 states/eV per cell
- Calculated formation energy: -211 meV/atom

Cell lengths 3.9374, 4.5611, 7.1871 Å; angles 85.87, 74.18, 64.48 degrees
With the nearest neighbours (Å) after each atom.
Space group P-1 (No. 2)
Inequivalent atoms, fractional coordinates:
Ni1 0.0000 0.0000 0.0000 (multiplicity 1)  6 Rh 2.65-2.72, 2 Ni 2.68, 4 Sn 2.84-2.85
Ni2 0.1312 0.1151 0.6225 (multiplicity 2)  4 Sn 2.59-2.66, 6 Ni 2.63-2.74, 2 Rh 2.77-2.78
Ni3 0.5000 0.5000 0.5000 (multiplicity 1)  6 Ni 2.63-2.69, 2 Rh 2.66, 4 Sn 2.72
Sn1 0.2401 0.2576 0.2620 (multiplicity 2)  8 Ni 2.59-2.85, 4 Rh 2.68-2.76
Rh1 0.3819 0.3643 0.8717 (multiplicity 2)  6 Ni 2.65-2.78, 4 Sn 2.68-2.76, 2 Rh 2.84


[15]
An optimized crystal structure of Ni3Sn6Rh, computed with PBE-GGA.

- D(E_F): 11.529 states/eV per cell
- Calculated formation energy: -156 meV/atom

Cell lengths 6.8963, 6.4078, 10.6216 Å; angles 90.00, 121.82, 90.00 degrees
With the nearest neighbours (Å) after each atom.
Space group P2_1/c (No. 14)
Inequivalent atoms, fractional coordinates:
Ni1 0.0000 0.0000 0.0000 (multiplicity 2)  6 Sn 2.55-2.61
Ni2 0.2050 0.1733 0.7268 (multiplicity 4)  7 Sn 2.60-2.87
Sn1 0.0999 0.1509 0.4321 (multiplicity 4)  3 Ni 2.55-2.82, 1 Rh 2.64
Sn2 0.2365 0.6576 0.3966 (multiplicity 4)  3 Ni 2.60-2.82, 1 Rh 2.69
Sn3 0.4168 0.5141 0.7277 (multiplicity 4)  3 Ni 2.60-2.62, 1 Rh 2.64
Rh1 0.5000 0.0000 0.5000 (multiplicity 2)  6 Sn 2.64-2.69


[16]
An optimized crystal structure of Ni2Sn3Rh8, computed with PBE-GGA.

- D(E_F): 60.494 states/eV per cell
- Calculated formation energy: 197 meV/atom

Cell lengths 5.3020, 5.3020, 27.4480 Å; angles 90.00, 90.00, 120.00 degrees
With the nearest neighbours (Å) after each atom.
Space group R-3m (No. 166, hexagonal axes)
Inequivalent atoms, fractional coordinates:
Ni1 0.0000 0.0000 0.1496 (multiplicity 6)  4 Rh 2.31-2.49
Sn1 0.0000 0.0000 0.3270 (multiplicity 6)  4 Rh 2.56-2.77
Sn2 0.0000 0.0000 0.5000 (multiplicity 3)  6 Rh 2.88, 6 Ni 3.10
Rh1 0.0000 0.0000 0.2338 (multiplicity 6)  1 Ni 2.31, 1 Sn 2.56
Rh2 0.0005 0.5002 0.7445 (multiplicity 18)  1 Ni 2.49, 6 Rh 2.65-2.72, 1 Sn 2.77


[17]
An optimized crystal structure of NiSn5Rh, computed with PBE-GGA.

- D(E_F): 15.750 states/eV per cell
- Calculated formation energy: -68 meV/atom

Cell lengths 11.0414, 7.2867, 9.3497 Å; angles 90.00, 112.98, 90.00 degrees
With the nearest neighbours (Å) after each atom.
Space group C2/c (No. 15)
Inequivalent atoms, fractional coordinates:
Ni1 0.0000 0.0000 0.0000 (multiplicity 4)  6 Sn 2.43-2.63
Sn1 0.0000 0.0896 0.2500 (multiplicity 4)  2 Ni 2.43, 1 Rh 2.70
Sn2 0.0962 0.3333 0.0126 (multiplicity 8)  1 Ni 2.63, 1 Rh 2.72
Sn3 0.2403 0.0971 0.6206 (multiplicity 8)  1 Ni 2.55, 1 Rh 2.67
Rh1 0.0000 0.4596 0.2500 (multiplicity 4)  7 Sn 2.67-2.96


[18]
An optimized crystal structure of NiSn2Rh, computed with PBE-GGA.

- D(E_F): 8.151 states/eV per cell
- Calculated formation energy: -163 meV/atom

Cell lengths 6.4797, 6.4797, 6.4797 Å; angles 90.00, 90.00, 90.00 degrees
With the nearest neighbours (Å) after each atom.
Space group Fm-3m (No. 225)
Inequivalent atoms, fractional coordinates:
Ni1 0.0000 0.0000 0.0000 (multiplicity 4)  8 Sn 2.81
Sn1 0.2500 0.2500 0.2500 (multiplicity 8)  4 Ni 2.81, 4 Rh 2.81
Rh1 0.0000 0.0000 0.5000 (multiplicity 4)  8 Sn 2.81


[19]
An optimized crystal structure of NiSn2Rh, computed with PBE-GGA.

- D(E_F): 3.937 states/eV per cell
- Calculated formation energy: -360 meV/atom

Cell lengths 5.3894, 7.0348, 3.9609 Å; angles 90.00, 90.00, 90.00 degrees
With the nearest neighbours (Å) after each atom.
Space group Pnnm (No. 58)
Inequivalent atoms, fractional coordinates:
Ni1 0.0000 0.0000 0.0000 (multiplicity 2)  6 Sn 2.66-2.71, 2 Rh 2.69
Sn1 0.2436 0.1694 0.5000 (multiplicity 4)  3 Ni 2.66-2.71, 3 Rh 2.67-2.69
Rh1 0.0000 0.5000 0.5000 (multiplicity 2)  6 Sn 2.67-2.69, 2 Ni 2.69


[20]
An optimized crystal structure of Sr2Ni3Sn4Rh, computed with PBE-GGA.

- D(E_F): 7.827 states/eV per cell
- Calculated formation energy: -457 meV/atom

Cell lengths 4.4930, 4.4930, 10.7113 Å; angles 90.00, 90.00, 90.00 degrees
With the nearest neighbours (Å) after each atom.
Space group P-4m2 (No. 115)
Inequivalent atoms, fractional coordinates:
Sr1 0.0000 0.5000 0.2472 (multiplicity 2)  8 Sn 3.42-3.52, 6 Ni 3.44-3.47, 2 Rh 3.47
Ni1 0.0000 0.0000 0.0000 (multiplicity 1)  4 Sn 2.63
Ni2 0.0000 0.5000 0.6284 (multiplicity 2)  5 Sn 2.61-2.63
Sn1 0.0000 0.0000 0.5000 (multiplicity 1)  4 Ni 2.63
Sn2 0.0000 0.5000 0.8718 (multiplicity 2)  3 Ni 2.61-2.63, 2 Rh 2.63
Sn3 0.5000 0.5000 0.5000 (multiplicity 1)  4 Ni 2.63
Rh1 0.5000 0.5000 0.0000 (multiplicity 1)  4 Sn 2.63


[21]
An optimized crystal structure of TaNiSnRh, computed with PBE-GGA.

- D(E_F): 13.364 states/eV per cell
- Calculated formation energy: -280 meV/atom

Cell lengths 6.3350, 6.3350, 6.3350 Å; angles 90.00, 90.00, 90.00 degrees
With the nearest neighbours (Å) after each atom.
Space group F-43m (No. 216)
Inequivalent atoms, fractional coordinates:
Ta1 0.0000 0.0000 0.0000 (multiplicity 4)  4 Ni 2.74, 4 Rh 2.74
Ni1 0.2500 0.2500 0.2500 (multiplicity 4)  4 Sn 2.74, 4 Ta 2.74
Sn1 0.0000 0.0000 0.5000 (multiplicity 4)  4 Rh 2.74, 4 Ni 2.74
Rh1 0.2500 0.2500 0.7500 (multiplicity 4)  4 Ta 2.74, 4 Sn 2.74


[22]
An optimized crystal structure of ThNiSnRh, computed with PBE-GGA.

- D(E_F): 19.974 states/eV per cell
- Calculated formation energy: -544 meV/atom

Cell lengths 6.8063, 6.8063, 6.8063 Å; angles 90.00, 90.00, 90.00 degrees
With the nearest neighbours (Å) after each atom.
Space group F-43m (No. 216)
Inequivalent atoms, fractional coordinates:
Th1 0.0000 0.0000 0.0000 (multiplicity 4)  4 Ni 2.95, 4 Rh 2.95
Ni1 0.2500 0.2500 0.2500 (multiplicity 4)  4 Sn 2.95, 4 Th 2.95
Sn1 0.0000 0.0000 0.5000 (multiplicity 4)  4 Rh 2.95, 4 Ni 2.95
Rh1 0.2500 0.2500 0.7500 (multiplicity 4)  4 Sn 2.95, 4 Th 2.95


[23]
An optimized crystal structure of TiNi2SnRh, computed with PBE-GGA.

- D(E_F): 5.776 states/eV per cell
- Calculated formation energy: 839 meV/atom

Cell lengths 4.5389, 4.5389, 4.8910 Å; angles 90.00, 90.00, 90.00 degrees
With the nearest neighbours (Å) after each atom.
Space group P4/mmm (No. 123)
Inequivalent atoms, fractional coordinates:
Ti1 0.0000 0.0000 0.0000 (multiplicity 1)  4 Sn 3.21, 8 Ni 3.34
Ni1 0.0000 0.5000 0.5000 (multiplicity 2)  2 Rh 2.27
Sn1 0.5000 0.5000 0.0000 (multiplicity 1)  2 Rh 2.45
Rh1 0.5000 0.5000 0.5000 (multiplicity 1)  4 Ni 2.27, 2 Sn 2.45


[24]
An optimized crystal structure of TmNiSnRh, computed with PBE-GGA.

- D(E_F): 14.005 states/eV per cell
- Calculated formation energy: -650 meV/atom

Cell lengths 6.5375, 6.5375, 6.5375 Å; angles 90.00, 90.00, 90.00 degrees
With the nearest neighbours (Å) after each atom.
Space group F-43m (No. 216)
Inequivalent atoms, fractional coordinates:
Tm1 0.0000 0.0000 0.0000 (multiplicity 4)  4 Ni 2.83, 4 Rh 2.83
Ni1 0.2500 0.2500 0.2500 (multiplicity 4)  4 Sn 2.83, 4 Tm 2.83
Sn1 0.0000 0.0000 0.5000 (multiplicity 4)  4 Ni 2.83, 4 Rh 2.83
Rh1 0.2500 0.2500 0.7500 (multiplicity 4)  4 Sn 2.83, 4 Tm 2.83